49
Lattice="9.822 0.000 0.000 0.000 5.911 0.000 -0.036 0.000 10.008" Properties=species:S:1:pos:R:3 comment="CaMn16O32 (PBE+U, optimized geometry)" dos_ef_per_ev_fu=5.22 final_energy_ev_per_atom=-7.16 crystal_system=monoclinic space_group="Pm (6)" volume_a3_per_atom=11.858 pbc="T T T"
Ca 0.000 0.000 0.000
Mn 1.488 2.955 2.625
Mn 1.573 0.000 2.721
Mn 1.656 1.474 5.824
Mn 1.656 4.437 5.824
Mn 3.249 2.955 7.841
Mn 3.271 0.000 7.815
Mn 3.447 1.468 0.957
Mn 3.447 4.443 0.957
Mn 6.406 1.476 7.626
Mn 6.406 4.434 7.626
Mn 6.560 0.000 0.796
Mn 6.642 2.955 0.727
Mn 8.189 1.475 2.786
Mn 8.189 4.436 2.786
Mn 8.327 0.000 5.932
Mn 8.343 2.955 5.947
O 0.422 0.000 5.959
O 0.429 2.955 5.942
O 1.488 1.383 1.322
O 1.488 4.528 1.322
O 1.668 1.468 3.914
O 1.668 4.443 3.914
O 1.966 1.459 7.793
O 1.966 4.452 7.793
O 2.930 2.955 5.927
O 2.932 0.000 5.906
O 3.181 0.000 9.737
O 3.206 2.955 9.752
O 3.384 2.955 2.225
O 3.449 0.000 2.251
O 4.490 1.482 7.735
O 4.490 4.429 7.735
O 5.349 1.456 0.854
O 5.349 4.455 0.854
O 6.420 0.000 6.352
O 6.435 2.955 6.349
O 6.632 2.955 8.831
O 6.641 0.000 8.859
O 6.913 0.000 2.720
O 6.933 2.955 2.652
O 7.977 1.371 0.833
O 7.977 4.539 0.833
O 8.181 1.483 4.715
O 8.181 4.428 4.715
O 8.323 1.460 7.238
O 8.323 4.451 7.238
O 9.403 2.955 2.664
O 9.441 0.000 2.638